1.
Entry from Alexandria via LeMat-Bulk: crystalline Ac3La4Dy at its relaxed geometry (PBE-GGA).

Computed properties:
DOS at the Fermi energy: 15.9 states/eV/f.u.
size of the total moment: 0.00 μB per formula unit
formation energy: 0.03 eV/atom

a b c (Å): 12.0235 5.3982 10.7836
angles (deg): 90.00 116.65 90.00
Space group C2/m (No. 12)
Symmetry-distinct sites (fractional):
Ac 0.0000 0.0000 0.0000 x2
Ac 0.0030 0.5000 0.7438 x4
La 0.2489 0.0000 0.3790 x4
La 0.2496 0.0000 0.8702 x4
Dy 0.0000 0.0000 0.5000 x2



2.
Entry from Alexandria via LeMat-Bulk: crystalline Ac7La3Dy at its relaxed geometry (PBE-GGA).

Computed properties:
DOS at the Fermi energy: 18.7 states/eV/f.u.
size of the total moment: 0.00 μB per formula unit
formation energy: 0.25 eV/atom

a b c (Å): 12.4029 11.2284 6.9474
angles (deg): 90.00 95.45 90.00
Space group C2/m (No. 12)
Symmetry-distinct sites (fractional):
Ac 0.0000 0.0000 0.0000 x2
Ac 0.2387 0.5000 0.2278 x4
Ac 0.2448 0.1696 0.2603 x8
La 0.0000 0.3360 0.0000 x4
La 0.0000 0.5000 0.5000 x2
Dy 0.0000 0.0000 0.5000 x2



3.
Entry from Alexandria via LeMat-Bulk: crystalline Ac5La8Dy at its relaxed geometry (PBE-GGA).

Computed properties:
DOS at the Fermi energy: 23.4 states/eV/f.u.
size of the total moment: 0.00 μB per formula unit
formation energy: 0.06 eV/atom

a b c (Å): 7.4655 9.1836 9.5253
angles (deg): 114.29 101.41 101.62
Space group P1 (No. 1)
Symmetry-distinct sites (fractional):
Ac 0.0000 0.0000 0.0000 x1
Ac 0.0312 0.8363 0.2937 x1
Ac 0.3966 0.4253 0.1496 x1
Ac 0.6985 0.1194 0.7087 x1
Ac 0.9119 0.2571 0.4200 x1
La 0.1059 0.5701 0.8657 x1
La 0.2117 0.1337 0.7210 x1
La 0.3085 0.6891 0.5659 x1
La 0.4193 0.2547 0.4268 x1
La 0.5263 0.8461 0.2741 x1
La 0.6062 0.5726 0.8602 x1
La 0.8157 0.6919 0.5633 x1
La 0.8818 0.4110 0.1310 x1
Dy 0.4976 0.0058 0.9985 x1



4.
Entry from Alexandria via LeMat-Bulk: crystalline AcLaDy at its relaxed geometry (PBE-GGA).

Computed properties:
distance to the lowest polymorph of the same formula: 544 meV/atom
DOS at the Fermi energy: 6.5 states/eV/f.u.
size of the total moment: 0.00 μB per formula unit
formation energy: 0.59 eV/atom

a b c (Å): 6.2087 6.2087 6.6285
angles (deg): 90.00 90.00 90.00
Space group P4/nmm (No. 129, origin choice 2)
Symmetry-distinct sites (fractional):
Ac 0.2500 0.7500 0.0000 x2
La 0.2500 0.2500 0.3711 x2
Dy 0.2500 0.2500 0.8383 x2



5.
Entry from Alexandria via LeMat-Bulk: crystalline Ac6La2Dy3 at its relaxed geometry (PBE-GGA).

Computed properties:
DOS at the Fermi energy: 15.3 states/eV/f.u.
size of the total moment: 0.00 μB per formula unit
formation energy: 0.18 eV/atom

a b c (Å): 6.6325 11.4625 12.2566
angles (deg): 90.00 100.01 90.00
Space group C2/m (No. 12)
Symmetry-distinct sites (fractional):
Ac 0.2456 0.0000 0.2486 x4
Ac 0.2465 0.3336 0.2457 x8
La 0.0000 0.3313 0.5000 x4
Dy 0.0000 0.1656 0.0000 x4
Dy 0.0000 0.5000 0.0000 x2



6.
Entry from Alexandria via LeMat-Bulk: crystalline Ac4La3Dy2 at its relaxed geometry (PBE-GGA).

Computed properties:
DOS at the Fermi energy: 15.2 states/eV/f.u.
size of the total moment: 0.00 μB per formula unit
formation energy: 0.10 eV/atom

a b c (Å): 15.6852 3.8580 13.6077
angles (deg): 90.00 119.75 90.00
Space group C2/m (No. 12)
Symmetry-distinct sites (fractional):
Ac 0.1178 0.0000 0.3603 x4
Ac 0.1315 0.5000 0.8816 x4
La 0.0000 0.0000 0.0000 x2
La 0.1109 0.5000 0.5994 x4
Dy 0.2023 0.5000 0.1838 x4



7.
Entry from Alexandria via LeMat-Bulk: crystalline AcLa6Dy at its relaxed geometry (PBE-GGA).

Computed properties:
DOS at the Fermi energy: 15.1 states/eV/f.u.
size of the total moment: 0.00 μB per formula unit
formation energy: 0.02 eV/atom

a b c (Å): 5.2855 5.2855 10.5711
angles (deg): 90.00 90.00 90.00
Space group P4/mmm (No. 123)
Symmetry-distinct sites (fractional):
Ac 0.0000 0.0000 0.0000 x1
La 0.0000 0.5000 0.2569 x4
La 0.5000 0.5000 0.0000 x1
La 0.5000 0.5000 0.5000 x1
Dy 0.0000 0.0000 0.5000 x1



8.
Entry from Alexandria via LeMat-Bulk: crystalline AcLa3Dy7 at its relaxed geometry (PBE-GGA).

Computed properties:
DOS at the Fermi energy: 17.2 states/eV/f.u.
size of the total moment: 0.00 μB per formula unit
formation energy: 0.21 eV/atom

a b c (Å): 11.8175 10.0888 6.5713
angles (deg): 90.00 94.70 90.00
Space group C2/m (No. 12)
Symmetry-distinct sites (fractional):
Ac 0.0000 0.0000 0.0000 x2
La 0.0000 0.3197 0.5000 x4
La 0.0000 0.5000 0.0000 x2
Dy 0.0000 0.0000 0.5000 x2
Dy 0.2354 0.5000 0.7002 x4
Dy 0.2452 0.1714 0.7594 x8



9.
Entry from Alexandria via LeMat-Bulk: crystalline AcLaDy at its relaxed geometry (PBE-GGA).

Computed properties:
distance to the lowest polymorph of the same formula: 6 meV/atom
DOS at the Fermi energy: 5.5 states/eV/f.u.
size of the total moment: 0.00 μB per formula unit
formation energy: 0.05 eV/atom

a b c (Å): 3.8100 3.8100 15.6262
angles (deg): 90.00 90.00 90.00
Space group I4mm (No. 107)
Symmetry-distinct sites (fractional):
Ac 0.0000 0.0000 0.0000 x2
La 0.0000 0.0000 0.3238 x2
Dy 0.0000 0.0000 0.6674 x2



10.
Entry from Alexandria via LeMat-Bulk: crystalline Ac7La2Dy at its relaxed geometry (PBE-GGA).

Computed properties:
DOS at the Fermi energy: 15.8 states/eV/f.u.
size of the total moment: 0.00 μB per formula unit
formation energy: 0.60 eV/atom

a b c (Å): 10.0316 16.8166 6.0043
angles (deg): 90.00 90.00 90.00
Space group Cmmm (No. 65)
Symmetry-distinct sites (fractional):
Ac 0.0000 0.0000 0.0000 x2
Ac 0.0000 0.2641 0.5000 x4
Ac 0.1847 0.3807 0.0000 x8
La 0.0000 0.2009 0.0000 x4
Dy 0.0000 0.5000 0.5000 x2



11.
Entry from Alexandria via LeMat-Bulk: crystalline Ac6LaDy5 at its relaxed geometry (PBE-GGA).

Computed properties:
DOS at the Fermi energy: 16.5 states/eV/f.u.
size of the total moment: 0.00 μB per formula unit
formation energy: 0.05 eV/atom

a b c (Å): 5.4658 10.2641 16.3623
angles (deg): 90.00 90.00 90.00
Space group Immm (No. 71)
Symmetry-distinct sites (fractional):
Ac 0.0000 0.2444 0.0000 x4
Ac 0.0000 0.2527 0.3330 x8
La 0.0000 0.0000 0.5000 x2
Dy 0.0000 0.0000 0.1692 x4
Dy 0.0000 0.5000 0.1667 x4
Dy 0.0000 0.5000 0.5000 x2



12.
Entry from Alexandria via LeMat-Bulk: crystalline Ac12LaDy3 at its relaxed geometry (PBE-GGA).

Computed properties:
DOS at the Fermi energy: 25.2 states/eV/f.u.
size of the total moment: 0.00 μB per formula unit
formation energy: 0.03 eV/atom

a b c (Å): 5.5075 5.5075 22.0186
angles (deg): 90.00 90.00 90.00
Space group P4/mmm (No. 123)
Symmetry-distinct sites (fractional):
Ac 0.0000 0.0000 0.0000 x1
Ac 0.0000 0.0000 0.2481 x2
Ac 0.0000 0.0000 0.5000 x1
Ac 0.0000 0.5000 0.1241 x4
Ac 0.0000 0.5000 0.3726 x4
La 0.5000 0.5000 0.5000 x1
Dy 0.5000 0.5000 0.0000 x1
Dy 0.5000 0.5000 0.2485 x2